# PrLu3Ni (PBE, optimized geometry)
# Energy of formation (eV/atom): -0.13
# E_tot (eV per atom): -4.96
data_PrLu3Ni
_chemical_formula_sum 'Pr1 Lu3 Ni1'
_cell_length_a 5.227
_cell_length_b 5.227
_cell_length_c 5.227
_cell_angle_alpha 90.00
_cell_angle_beta 90.00
_cell_angle_gamma 90.00
_symmetry_space_group_name_H-M 'P m -3 m'
_symmetry_Int_Tables_number 221
_symmetry_space_group_name_Hall '-P 4 2 3'
loop_
_atom_site_label
_atom_site_type_symbol
_atom_site_fract_x
_atom_site_fract_y
_atom_site_fract_z
_atom_site_occupancy
Pr1 Pr 0.000 0.000 0.000 1
Lu1 Lu 0.000 0.500 0.500 1
Ni1 Ni 0.500 0.500 0.500 1